Record 1
Entry from Alexandria via LeMat-Bulk: a geometry-optimized TlIn2Sn2 structure (PBE).

CIF file:
```
data_TlIn2Sn2
_chemical_formula_sum 'Tl2 In4 Sn4'
_cell_length_a 8.9301
_cell_length_b 8.9301
_cell_length_c 3.6291
_cell_angle_alpha 90.00
_cell_angle_beta 90.00
_cell_angle_gamma 90.00
_space_group_name_H-M_alt 'P 4/m b m'
_space_group_IT_number 127
_space_group_name_Hall '-P 4 2ab'
loop_
_atom_site_label
_atom_site_fract_x
_atom_site_fract_y
_atom_site_fract_z
_atom_site_occupancy
Tl1 0.0000 0.0000 0.0000 1
In1 0.1551 0.3449 0.5000 1
Sn1 0.1408 0.6408 0.0000 1
```

The calculation puts the volume at 28.9 Å³/atom. The polymorph energy (0 for the lowest one) comes out at 24 meV/atom. As for the formation energy: 0.052 eV per atom. The total DFT energy (no corrections) is -31.18 eV for the cell shown.

Record 2
Entry from Alexandria via LeMat-Bulk: a geometry-optimized TlInSn structure (PBE).

CIF file:
```
data_TlInSn
_chemical_formula_sum 'Tl1 In1 Sn1'
_cell_length_a 3.4804
_cell_length_b 3.4804
_cell_length_c 8.1727
_cell_angle_alpha 90.00
_cell_angle_beta 90.00
_cell_angle_gamma 120.00
_space_group_name_H-M_alt 'P 3 m 1'
_space_group_IT_number 156
_space_group_name_Hall 'P 3 -2"'
loop_
_atom_site_label
_atom_site_fract_x
_atom_site_fract_y
_atom_site_fract_z
_atom_site_occupancy
Tl1 0.0000 0.0000 0.0000 1
In1 0.6667 0.3333 0.3373 1
Sn1 0.3333 0.6667 0.6580 1
```

The calculation puts the volume at 28.6 Å³/atom. The polymorph energy (0 for the lowest one) comes out at 24 meV/atom. As for the formation energy: 0.038 eV per atom. The total DFT energy (no corrections) is -8.99 eV for the cell shown.

Record 3
Entry from Alexandria via LeMat-Bulk: a geometry-optimized TlInSn6 structure (PBE).

CIF file:
```
data_TlInSn6
_chemical_formula_sum 'Tl2 In2 Sn12'
_cell_length_a 5.3381
_cell_length_b 7.0569
_cell_length_c 11.9226
_cell_angle_alpha 90.00
_cell_angle_beta 90.00
_cell_angle_gamma 90.00
_space_group_name_H-M_alt 'A m m 2'
_space_group_IT_number 38
_space_group_name_Hall 'A 2 -2'
loop_
_atom_site_label
_atom_site_fract_x
_atom_site_fract_y
_atom_site_fract_z
_atom_site_occupancy
Tl1 0.0000 0.0000 0.0000 1
In1 0.5000 0.0000 0.7203 1
Sn1 0.0000 0.0000 0.5594 1
Sn2 0.0000 0.2229 0.2730 1
Sn3 0.5000 0.0000 0.1681 1
Sn4 0.5000 0.2192 0.4424 1
```

The calculation puts the volume at 28.1 Å³/atom. The polymorph energy (0 for the lowest one) comes out at 0 meV/atom. As for the formation energy: 0.063 eV per atom. The total DFT energy (no corrections) is -57.24 eV for the cell shown.

Record 4
Entry from Alexandria via LeMat-Bulk: a geometry-optimized Tl3In2Sn2 structure (PBE).

CIF file:
```
data_Tl3In2Sn2
_chemical_formula_sum 'Tl6 In4 Sn4'
_cell_length_a 3.2952
_cell_length_b 5.4354
_cell_length_c 22.7931
_cell_angle_alpha 90.00
_cell_angle_beta 90.00
_cell_angle_gamma 90.00
_space_group_name_H-M_alt 'I m m m'
_space_group_IT_number 71
_space_group_name_Hall '-I 2 2'
loop_
_atom_site_label
_atom_site_fract_x
_atom_site_fract_y
_atom_site_fract_z
_atom_site_occupancy
Tl1 0.0000 0.0000 0.0000 1
Tl2 0.0000 0.5000 0.2082 1
In1 0.0000 0.5000 0.3580 1
Sn1 0.0000 0.0000 0.4293 1
```

The calculation puts the volume at 29.2 Å³/atom. As for the formation energy: 0.030 eV per atom. The total DFT energy (no corrections) is -40.75 eV for the cell shown.

Record 5
Entry from Alexandria via LeMat-Bulk: a geometry-optimized Tl2In9Sn4 structure (PBE).

CIF file:
```
data_Tl2In9Sn4
_chemical_formula_sum 'Tl2 In9 Sn4'
_cell_length_a 5.1279
_cell_length_b 5.1279
_cell_length_c 19.7704
_cell_angle_alpha 90.00
_cell_angle_beta 90.00
_cell_angle_gamma 120.00
_space_group_name_H-M_alt 'P -3 m 1'
_space_group_IT_number 164
_space_group_name_Hall '-P 3 2"'
loop_
_atom_site_label
_atom_site_fract_x
_atom_site_fract_y
_atom_site_fract_z
_atom_site_occupancy
Tl1 0.3333 0.6667 0.2564 1
In1 0.0000 0.0000 0.0000 1
In2 0.0000 0.0000 0.1785 1
In3 0.0000 0.0000 0.3419 1
In4 0.3333 0.6667 0.0573 1
In5 0.3333 0.6667 0.4536 1
Sn1 0.3333 0.6667 0.6118 1
Sn2 0.3333 0.6667 0.8750 1
```

The calculation puts the volume at 30.0 Å³/atom. As for the formation energy: 0.044 eV per atom. The total DFT energy (no corrections) is -44.73 eV for the cell shown.

Record 6
Entry from Alexandria via LeMat-Bulk: a geometry-optimized Tl12InSn6 structure (PBE).

CIF file:
```
data_Tl12InSn6
_chemical_formula_sum 'Tl36 In3 Sn18'
_cell_length_a 11.8429
_cell_length_b 11.8429
_cell_length_c 14.7311
_cell_angle_alpha 90.00
_cell_angle_beta 90.00
_cell_angle_gamma 120.00
_space_group_name_H-M_alt 'R -3'
_space_group_IT_number 148
_space_group_name_Hall '-R 3'
loop_
_atom_site_label
_atom_site_fract_x
_atom_site_fract_y
_atom_site_fract_z
_atom_site_occupancy
Tl1 0.0434 0.8588 0.3059 1
Tl2 0.0654 0.2402 0.9213 1
In1 0.0000 0.0000 0.5000 1
Sn1 0.0416 0.5945 0.2019 1
```

The calculation puts the volume at 31.4 Å³/atom. As for the formation energy: 0.037 eV per atom. The total DFT energy (no corrections) is -163.36 eV for the cell shown.